Model 1:
# PBE VHN, optimized geometry
# Spin magnetization in μB/atom: 0.00
data_VHN
_chemical_formula_sum 'V1 H1 N1'
_space_group_name_H-M_alt 'P 1'
_space_group_IT_number 1
_space_group_name_Hall 'P 1'
_cell_length_a 2.715
_cell_length_b 2.905
_cell_length_c 2.905
_cell_angle_alpha 120.00
_cell_angle_beta 90.00
_cell_angle_gamma 90.00
loop_
_atom_site_label
_atom_site_fract_x
_atom_site_fract_y
_atom_site_fract_z
_atom_site_occupancy
V1 0.500 0.667 0.333 1
N1 0.000 0.000 0.000 1
H1 0.500 0.333 0.667 1

Model 2:
# PBE VHN, optimized geometry
# Spin magnetization in μB/atom: 0.00
data_VHN
_chemical_formula_sum 'V2 H2 N2'
_space_group_name_H-M_alt 'P 1'
_space_group_IT_number 1
_space_group_name_Hall 'P 1'
_cell_length_a 3.449
_cell_length_b 3.449
_cell_length_c 4.633
_cell_angle_alpha 90.00
_cell_angle_beta 90.00
_cell_angle_gamma 90.00
loop_
_atom_site_label
_atom_site_fract_x
_atom_site_fract_y
_atom_site_fract_z
_atom_site_occupancy
V1 0.000 0.000 0.500 1
V2 0.500 0.500 0.500 1
N1 0.500 0.000 0.741 1
N2 0.000 0.500 0.259 1
H1 0.000 0.500 0.035 1
H2 0.500 0.000 0.965 1

Model 3:
# PBE VHN, optimized geometry
# Spin magnetization in μB/atom: 0.00
data_VHN
_chemical_formula_sum 'V4 H4 N4'
_space_group_name_H-M_alt 'P 1'
_space_group_IT_number 1
_space_group_name_Hall 'P 1'
_cell_length_a 3.679
_cell_length_b 5.063
_cell_length_c 5.802
_cell_angle_alpha 56.18
_cell_angle_beta 90.00
_cell_angle_gamma 90.00
loop_
_atom_site_label
_atom_site_fract_x
_atom_site_fract_y
_atom_site_fract_z
_atom_site_occupancy
V1 0.140 0.319 0.473 1
V2 0.860 0.681 0.527 1
V3 0.640 0.181 0.027 1
V4 0.360 0.819 0.973 1
N1 0.366 0.780 0.351 1
N2 0.866 0.720 0.149 1
N3 0.134 0.280 0.851 1
N4 0.634 0.220 0.649 1
H1 0.107 0.882 0.675 1
H2 0.393 0.382 0.175 1
H3 0.607 0.618 0.825 1
H4 0.893 0.118 0.325 1

Here is how they stack up, most stable first: model 2, model 1, model 3.